Entry 1:
Crystalline Ta2AgPd at its relaxed geometry. Source: Alexandria via LeMat-Bulk, functional PBE.

Values from the calculation:
The crystal system is cubic. The value obtained for the energy relative to the lowest polymorph listed for this composition is 0 meV per atom. The calculation puts the formation enthalpy at 0 K at 0.339 eV per atom.

Lattice parameters (Å, degrees): 4.6208 4.6208 4.6208 60.00 60.00 60.00
Last column: nearest neighbours and their distance in Å.
Sites, in units of the cell vectors:
Ag 0.5000 0.5000 0.5000  8 Ta 2.83
Ta 0.2500 0.2500 0.2500  4 Ag 2.83, 4 Pd 2.83
Ta 0.7500 0.7500 0.7500  4 Ag 2.83, 4 Pd 2.83
Pd 0.0000 0.0000 0.0000  8 Ta 2.83


Entry 2:
Crystalline Ta2AgPd2 at its relaxed geometry. Source: Alexandria via LeMat-Bulk, functional PBE.

Values from the calculation:
The crystal system is tetragonal. The value obtained for the energy relative to the lowest polymorph listed for this composition is 0 meV per atom. The calculation puts the formation enthalpy at 0 K at -0.038 eV per atom.

Lattice parameters (Å, degrees): 7.8338 7.8338 2.8434 90.00 90.00 90.00
Last column: nearest neighbours and their distance in Å.
Sites, in units of the cell vectors:
Ta 0.3314 0.1686 0.5000  6 Pd 2.67-2.74, 2 Ta 2.84
Ta 0.6686 0.8314 0.5000  6 Pd 2.67-2.74, 2 Ta 2.84
Ta 0.1686 0.6686 0.5000  6 Pd 2.67-2.74, 2 Ta 2.84
Ta 0.8314 0.3314 0.5000  6 Pd 2.67-2.74, 2 Ta 2.84
Pd 0.3730 0.8730 0.0000  6 Ta 2.67-2.74, 3 Pd 2.81-2.84
Pd 0.8730 0.6270 0.0000  6 Ta 2.67-2.74, 3 Pd 2.81-2.84
Pd 0.1270 0.3730 0.0000  6 Ta 2.67-2.74, 3 Pd 2.81-2.84
Pd 0.6270 0.1270 0.0000  6 Ta 2.67-2.74, 3 Pd 2.81-2.84
Ag 0.0000 0.0000 0.0000  2 Ag 2.84, 4 Pd 3.09
Ag 0.5000 0.5000 0.0000  2 Ag 2.84, 4 Pd 3.09


Entry 3:
Crystalline TaAg2Pd8 at its relaxed geometry. Source: Alexandria via LeMat-Bulk, functional PBE.

Values from the calculation:
The crystal system is orthorhombic. The calculation puts the formation enthalpy at 0 K at -0.044 eV per atom.

Lattice parameters (Å, degrees): 4.2552 6.7536 6.7536 105.86 90.01 90.01
Last column: nearest neighbours and their distance in Å.
Sites, in units of the cell vectors:
Pd 0.5000 0.6764 0.6764  1 Ta 2.63, 5 Pd 2.84-2.87, 4 Ag 2.89
Pd 0.9999 0.9624 0.7043  7 Pd 2.71-2.94, 2 Ag 2.71-3.00, 2 Ta 2.88
Pd 0.5000 0.2368 0.7632  1 Ta 2.55, 2 Ag 2.61, 4 Pd 2.78
Pd 0.0001 0.0376 0.2957  7 Pd 2.71-2.94, 2 Ag 2.71-3.00, 2 Ta 2.88
Pd 0.9999 0.7043 0.9624  7 Pd 2.71-2.94, 2 Ag 2.71-3.00, 2 Ta 2.88
Pd 0.0001 0.2957 0.0376  7 Pd 2.71-2.94, 2 Ag 2.71-3.00, 2 Ta 2.88
Pd 0.5000 0.3236 0.3236  1 Ta 2.63, 5 Pd 2.84-2.87, 4 Ag 2.89
Pd 0.5000 0.7632 0.2368  1 Ta 2.55, 2 Ag 2.61, 4 Pd 2.78
Ag 0.0000 0.3772 0.6228  8 Pd 2.61-2.89, 1 Ag 2.65
Ag 0.0000 0.6228 0.3772  8 Pd 2.61-2.89, 1 Ag 2.65
Ta 0.5000 0.0000 0.0000  4 Pd 2.55-2.63


Entry 4:
Crystalline TaAg3Pd at its relaxed geometry. Source: Alexandria via LeMat-Bulk, functional PBE.

Values from the calculation:
The crystal system is cubic. The value obtained for the energy relative to the lowest polymorph listed for this composition is 144 meV per atom. The calculation puts the formation enthalpy at 0 K at 1.677 eV per atom.

Lattice parameters (Å, degrees): 5.0832 5.0832 5.0832 90.00 90.00 90.00
Last column: nearest neighbours and their distance in Å.
Sites, in units of the cell vectors:
Ag 0.5000 0.0000 0.0000  2 Ta 2.54
Ag 0.0000 0.0000 0.5000  2 Ta 2.54
Ag 0.0000 0.5000 0.0000  2 Ta 2.54
Pd 0.5000 0.5000 0.5000  12 Ag 3.59
Ta 0.0000 0.0000 0.0000  6 Ag 2.54


Entry 5:
Crystalline TaAgPd at its relaxed geometry. Source: Alexandria via LeMat-Bulk, functional PBE.

Values from the calculation:
The crystal system is tetragonal. The value obtained for the energy relative to the lowest polymorph listed for this composition is 0 meV per atom. The calculation puts the formation enthalpy at 0 K at -0.031 eV per atom.

Lattice parameters (Å, degrees): 2.8623 2.8623 6.5112 102.70 102.70 90.00
Last column: nearest neighbours and their distance in Å.
Sites, in units of the cell vectors:
Ta 0.6737 0.6737 0.3474  4 Pd 2.78, 4 Ta 2.86, 4 Ag 2.97
Ag 0.9982 0.9982 0.9964  4 Ag 2.86, 4 Pd 2.92, 4 Ta 2.97
Pd 0.3281 0.3281 0.6562  4 Ta 2.78, 4 Pd 2.86, 4 Ag 2.92


Entry 6:
Crystalline TaAgPd at its relaxed geometry. Source: Alexandria via LeMat-Bulk, functional PBE.

Values from the calculation:
The crystal system is trigonal. The value obtained for the energy relative to the lowest polymorph listed for this composition is 210 meV per atom. The calculation puts the formation enthalpy at 0 K at 0.179 eV per atom.

Lattice parameters (Å, degrees): 4.5416 4.5416 6.8051 70.51 70.51 60.00
Last column: nearest neighbours and their distance in Å.
Sites, in units of the cell vectors:
Ta 0.2814 0.2814 0.1557  4 Pd 2.49-2.68
Ta 0.7186 0.7186 0.8443  4 Pd 2.49-2.68
Ag 0.8704 0.8704 0.3887  3 Pd 2.78, 4 Ta 2.86-3.00, 3 Ag 2.97
Ag 0.1296 0.1296 0.6113  3 Pd 2.78, 4 Ta 2.86-3.00, 3 Ag 2.97
Pd 0.4138 0.4138 0.7586  4 Ta 2.49-2.68, 3 Ag 2.78
Pd 0.5862 0.5862 0.2414  4 Ta 2.49-2.68, 3 Ag 2.78


Entry 7:
Crystalline Ta3AgPd at its relaxed geometry. Source: Alexandria via LeMat-Bulk, functional PBE.

Values from the calculation:
The crystal system is cubic. The value obtained for the energy relative to the lowest polymorph listed for this composition is 571 meV per atom. The calculation puts the formation enthalpy at 0 K at 2.038 eV per atom.

Lattice parameters (Å, degrees): 4.8511 4.8511 4.8511 90.00 90.00 90.00
Last column: nearest neighbours and their distance in Å.
Sites, in units of the cell vectors:
Ta 0.0000 0.5000 0.0000  2 Ag 2.43
Ta 0.0000 0.0000 0.5000  2 Ag 2.43
Ta 0.5000 0.0000 0.0000  2 Ag 2.43
Ag 0.0000 0.0000 0.0000  6 Ta 2.43
Pd 0.5000 0.5000 0.5000  12 Ta 3.43


Entry 8:
Crystalline Ta2AgPd2 at its relaxed geometry. Source: Alexandria via LeMat-Bulk, functional PBE.

Values from the calculation:
The crystal system is tetragonal. The value obtained for the energy relative to the lowest polymorph listed for this composition is 79 meV per atom. The calculation puts the formation enthalpy at 0 K at 0.041 eV per atom.

Lattice parameters (Å, degrees): 7.9937 7.9937 2.8012 90.00 90.00 90.00
Last column: nearest neighbours and their distance in Å.
Sites, in units of the cell vectors:
Ta 0.1211 0.3789 0.0000  6 Pd 2.71-2.77, 3 Ta 2.74-2.80
Ta 0.8789 0.6211 0.0000  6 Pd 2.71-2.77, 3 Ta 2.74-2.80
Ta 0.3789 0.8789 0.0000  6 Pd 2.71-2.77, 3 Ta 2.74-2.80
Ta 0.6211 0.1211 0.0000  6 Pd 2.71-2.77, 3 Ta 2.74-2.80
Ag 0.5000 0.5000 0.0000  2 Ag 2.80
Ag 0.0000 0.0000 0.0000  2 Ag 2.80
Pd 0.8268 0.3268 0.5000  6 Ta 2.71-2.77, 2 Pd 2.80
Pd 0.1732 0.6732 0.5000  6 Ta 2.71-2.77, 2 Pd 2.80
Pd 0.6732 0.8268 0.5000  6 Ta 2.71-2.77, 2 Pd 2.80
Pd 0.3268 0.1732 0.5000  6 Ta 2.71-2.77, 2 Pd 2.80